Compound: RbInGaBi2
Source: Alexandria via LeMat-Bulk
Functional: PBE-GGA
Structure: optimized geometry

Its energy of formation from the pure elements is -188 meV per atom. The calculation puts the total DFT energy (no corrections) at -3.09 eV/atom.

The structure belongs to space group I-4m2 (No. 119); the cell edges are 5.016, 5.016 and 14.448 Å and the angles 90.00°, 90.00° and 90.00°. The inequivalent atoms are Rb at (0.000, 0.000, 0.000), In at (0.000, 0.500, 0.250), Ga at (0.000, 0.500, 0.750) and Bi at (0.000, 0.000, 0.369).